(1)
# Li2NbP5O15

An optimized crystal structure of Li2NbP5O15 (PBE, the Alexandria database).

Structure (POSCAR):
```
Li2NbP5O15
1.0
14.7714 0.0000 0.0000
0.0000 5.3516 -0.1206
0.0000 1.6471 8.0970
Li Nb P O
4 2 10 30
Direct
0.8460 0.8104 0.1593
0.6540 0.8104 0.1593
0.3460 0.1896 0.8407
0.1540 0.1896 0.8407
0.0000 0.5000 0.5000
0.5000 0.5000 0.5000
0.3521 0.0392 0.4776
0.1479 0.0392 0.4776
0.9021 0.6358 0.8420
0.5979 0.6358 0.8420
0.2500 0.6428 0.9750
0.7500 0.3572 0.0250
0.4021 0.3642 0.1580
0.0979 0.3642 0.1580
0.6479 0.9608 0.5224
0.8521 0.9608 0.5224
0.7500 0.0438 0.4731
0.9243 0.7710 0.9778
0.5757 0.7710 0.9778
0.2500 0.9179 0.8985
0.8399 0.8203 0.7064
0.6601 0.8203 0.7064
0.6148 0.7808 0.4118
0.8852 0.7808 0.4118
0.4051 0.7991 0.4827
0.0949 0.7991 0.4827
0.8345 0.3999 0.8965
0.6655 0.3999 0.8965
0.9772 0.5349 0.7461
0.5228 0.5349 0.7461
0.7500 0.5548 0.1329
0.2500 0.4452 0.8671
0.4772 0.4651 0.2539
0.0228 0.4651 0.2539
0.3345 0.6001 0.1035
0.1655 0.6001 0.1035
0.9051 0.2009 0.5173
0.5949 0.2009 0.5173
0.3852 0.2192 0.5882
0.1148 0.2192 0.5882
0.3399 0.1797 0.2936
0.1601 0.1797 0.2936
0.7500 0.0821 0.1015
0.4243 0.2290 0.0222
0.0757 0.2290 0.0222
0.2500 0.9562 0.5269
```

Space-group type: P2_1/m (11)
Total moment, Bohr magnetons per cell: 4.00
N(E_F), states/eV/f.u.: 0.4
ρ, Mg/m³: 2.591
ΔE_f (raw), eV/atom: -2.154

(2)
# Pa3Cu2S8

An optimized crystal structure of Pa3Cu2S8 (PBE, the Alexandria database).

Structure (POSCAR):
```
Pa3Cu2S8
1.0
6.4522 0.2132 -2.3519
-1.6332 6.8063 -3.8637
0.2842 -0.4656 7.3317
Pa Cu S
3 2 8
Direct
0.5000 0.0000 0.0000
0.0000 0.7401 0.0000
0.0000 0.2599 0.0000
0.6170 0.6680 0.3360
0.3830 0.3320 0.6640
0.7500 0.3803 0.7606
0.2500 0.6197 0.2394
0.7541 0.8746 0.7491
0.2459 0.1254 0.2509
0.7432 0.3660 0.2325
0.7432 0.8665 0.2325
0.2568 0.1335 0.7675
0.2568 0.6340 0.7675
```

Space-group type: C2/m (12)
Total moment, Bohr magnetons per cell: 1.13
N(E_F), states/eV/f.u.: 7.1
ρ, Mg/m³: 5.668
ΔE_f (raw), eV/atom: -1.186